Entry 1:
DFT (meta-GGA SCAN) results for a crystal of BaSr2Au relaxed with PBEsol.

extended XYZ file:
```
4
Lattice="-1.9947 3.0537 6.5855 1.9947 -3.0537 6.5855 1.9947 3.0537 -6.5855" Properties=species:S:1:pos:R:3 pbc="T T T"
Ba 0.0000 0.0000 0.0000
Sr 1.9947 0.0000 4.1845
Sr 0.0000 3.0537 2.4010
Au 0.0000 0.0000 6.5855
```

Output
VASP energy	-38.755	eV per atom

Entry 2:
DFT (meta-GGA SCAN) results for a crystal of Ba3SrAu relaxed with PBEsol.

extended XYZ file:
```
5
Lattice="6.3669 0.0000 0.0000 0.0000 6.3669 0.0000 0.0000 0.0000 6.3669" Properties=species:S:1:pos:R:3 pbc="T T T"
Ba 0.0000 0.0000 3.1834
Ba 0.0000 3.1834 0.0000
Ba 3.1834 0.0000 0.0000
Sr 0.0000 0.0000 0.0000
Au 3.1834 3.1834 3.1834
```

Output
VASP energy	-41.225	eV per atom

| no. | N(E_F) (states/eV/cell) | magnetic moment (μB/atom) |
| --- | --- | --- |
| 1 | 3.81 | 0.000 |
| 2 | 6.87 | 0.000 |